Model 1:
Below is an optimized crystal structure of Mn2TlSb, with properties calculated at the GGA-PBE level.

Structure (CIF):
```
data_Mn2TlSb
_chemical_formula_sum 'Mn4 Tl2 Sb2'
_symmetry_space_group_name_H-M 'I m m 2'
_symmetry_Int_Tables_number 44
_cell_length_a 3.2030
_cell_length_b 4.0425
_cell_length_c 13.2751
_cell_angle_alpha 90.00
_cell_angle_beta 90.00
_cell_angle_gamma 90.00
loop_
_symmetry_equiv_pos_as_xyz
'x,y,z'
'-x,-y,z'
'-x,y,z'
'x,-y,z'
'x+1/2,y+1/2,z+1/2'
'-x+1/2,-y+1/2,z+1/2'
'-x+1/2,y+1/2,z+1/2'
'x+1/2,-y+1/2,z+1/2'
loop_
_atom_site_label
_atom_site_type_symbol
_atom_site_fract_x
_atom_site_fract_y
_atom_site_fract_z
Mn1 Mn 0.0000 0.0000 0.0000
Mn2 Mn 0.0000 0.5000 0.3119
Tl1 Tl 0.0000 0.5000 0.6882
Sb1 Sb 0.0000 0.0000 0.4482
```

***

Model 2:
Below is an optimized crystal structure of Mn2TlSb, with properties calculated at the GGA-PBE level.

Structure (CIF):
```
data_Mn2TlSb
_chemical_formula_sum 'Mn8 Tl4 Sb4'
_symmetry_space_group_name_H-M 'F m -3 m'
_symmetry_Int_Tables_number 225
_symmetry_space_group_name_Hall '-F 4 2 3'
_cell_length_a 6.3921
_cell_length_b 6.3921
_cell_length_c 6.3921
_cell_angle_alpha 90.00
_cell_angle_beta 90.00
_cell_angle_gamma 90.00
loop_
_atom_site_label
_atom_site_type_symbol
_atom_site_fract_x
_atom_site_fract_y
_atom_site_fract_z
Mn1 Mn 0.2500 0.2500 0.2500
Tl1 Tl 0.0000 0.0000 0.0000
Sb1 Sb 0.0000 0.0000 0.5000
```

***

Question: which arrangement is favored energetically? Ranking from most to least stable: model 1, model 2.